# 1
An optimized crystal structure of K2SrAu. Source: Alexandria via LeMat-Bulk, functional GGA-PBE.

Cell lengths 4.0817, 4.0817, 11.1611 Å; angles 90.00, 90.00, 90.00 degrees
With the nearest neighbours (Å) after each atom.
Positions (direct):
Au (0.5000, 0.5000, 0.7189)  4 Sr 3.24
K (0.5000, 0.5000, 0.2681)  4 K 4.08
K (0.0000, 0.0000, 0.9255)  4 Au 3.69, 1 Sr 3.77, 4 K 4.08
Sr (0.0000, 0.0000, 0.5875)  4 Au 3.24

The symmetry is P4mm, No. 99. Its calculated volume is 46.49 Å³/atom. The distance to the lowest polymorph of the same formula is 16 meV per atom. For the formation enthalpy at 0 K, the calculation gives -0.260 eV per atom. For the total magnetization, the calculation gives 0.000 μB/atom.

---

# 2
An optimized crystal structure of YInPd. Source: Alexandria via LeMat-Bulk, functional GGA-PBE.

Cell lengths 3.1826, 3.1826, 7.9353 Å; angles 101.57, 101.57, 90.00 degrees
With the nearest neighbours (Å) after each atom.
Positions (direct):
Y (0.1222, 0.1222, 0.2444)  1 Pd 2.59
Pd (0.9519, 0.9519, 0.9038)  1 Y 2.59, 1 In 2.68
In (0.7759, 0.7759, 0.5518)  1 Pd 2.68

The symmetry is I4mm, No. 107. Its calculated volume is 25.69 Å³/atom. For the formation enthalpy at 0 K, the calculation gives 0.150 eV per atom. For the total magnetization, the calculation gives 0.014 μB/atom.

---

# 3
An optimized crystal structure of Ca2AcLa2. Source: Alexandria via LeMat-Bulk, functional GGA-PBE.

Cell lengths 9.8639, 9.8639, 4.1770 Å; angles 90.00, 90.00, 90.00 degrees
With the nearest neighbours (Å) after each atom.
Positions (direct):
La (0.8790, 0.3790, 0.0000)  1 La 3.38, 6 Ca 3.52-3.64
La (0.3790, 0.1210, 0.0000)  1 La 3.38, 6 Ca 3.52-3.64
La (0.6210, 0.8790, 0.0000)  1 La 3.38, 6 Ca 3.52-3.64
La (0.1210, 0.6210, 0.0000)  1 La 3.38, 6 Ca 3.52-3.64
Ca (0.3241, 0.8241, 0.5000)  6 La 3.52-3.64
Ca (0.1759, 0.3241, 0.5000)  6 La 3.52-3.64
Ca (0.8241, 0.6759, 0.5000)  6 La 3.52-3.64
Ca (0.6759, 0.1759, 0.5000)  6 La 3.52-3.64
Ac (0.5000, 0.5000, 0.0000)  4 La 3.92, 2 Ac 4.18, 8 Ca 4.19
Ac (0.0000, 0.0000, 0.0000)  4 La 3.92, 2 Ac 4.18, 8 Ca 4.19

The symmetry is P4/mbm, No. 127. Its calculated volume is 40.64 Å³/atom. For the formation enthalpy at 0 K, the calculation gives 0.141 eV per atom. For the total magnetization, the calculation gives 0.000 μB/atom.

---

# 4
An optimized crystal structure of CrHg3. Source: Alexandria via LeMat-Bulk, functional GGA-PBE.

Cell lengths 5.3588, 3.3857, 5.8145 Å; angles 106.93, 117.44, 90.00 degrees
With the nearest neighbours (Å) after each atom.
Positions (direct):
Cr (0.0140, 0.0000, 0.0000)  8 Hg 2.90-3.23
Hg (0.6244, 0.2747, 0.5495)  3 Cr 2.91-3.23, 7 Hg 3.05-3.22
Hg (0.0749, 0.7253, 0.4505)  3 Cr 2.91-3.23, 7 Hg 3.05-3.22
Hg (0.4534, 0.5000, 0.0000)  2 Cr 2.90, 6 Hg 3.05-3.22

The symmetry is Imm2, No. 44. Its calculated volume is 22.11 Å³/atom. For the formation enthalpy at 0 K, the calculation gives 0.332 eV per atom. For the total magnetization, the calculation gives 1.078 μB/atom.